Entry from Alexandria via LeMat-Bulk: CaLa4Dy5 after structural relaxation (GGA-PBE).

Summary:
SG	C2/m (12)

a = 8.914 Å, b = 8.914 Å, c = 11.756 Å
α = 108.81°, β = 108.81°, γ = 23.16°
Fractional coordinates of all 10 atoms:
Ca1 0.000 0.000 0.000
La1 0.109 0.109 0.301
La2 0.409 0.409 0.212
La3 0.591 0.591 0.788
La4 0.891 0.891 0.699
Dy1 0.000 0.000 0.500
Dy2 0.282 0.282 0.879
Dy3 0.309 0.309 0.418
Dy4 0.691 0.691 0.582
Dy5 0.718 0.718 0.121


Entry from Alexandria via LeMat-Bulk: CaLaDy2 after structural relaxation (GGA-PBE).

Summary:
energy above the lowest structure with this stoichiometry	0.42	eV per formula unit
SG	Fm-3m (225)

a = 5.830 Å, b = 5.830 Å, c = 5.830 Å
α = 60.00°, β = 60.00°, γ = 60.00°
Fractional coordinates of all 4 atoms:
Ca1 0.000 0.000 0.000
La1 0.500 0.500 0.500
Dy1 0.250 0.250 0.250
Dy2 0.750 0.750 0.750


Entry from Alexandria via LeMat-Bulk: CaLa12Dy3 after structural relaxation (GGA-PBE).

Summary:
SG	P4/mmm (123)

a = 5.240 Å, b = 5.240 Å, c = 20.966 Å
α = 90.00°, β = 90.00°, γ = 90.00°
Fractional coordinates of all 16 atoms:
Ca1 0.000 0.000 0.000
La1 0.000 0.500 0.130
La2 0.000 0.500 0.376
La3 0.000 0.500 0.624
La4 0.000 0.500 0.870
La5 0.500 0.000 0.130
La6 0.500 0.000 0.376
La7 0.500 0.000 0.624
La8 0.500 0.000 0.870
La9 0.500 0.500 0.000
La10 0.500 0.500 0.252
La11 0.500 0.500 0.500
La12 0.500 0.500 0.748
Dy1 0.000 0.000 0.252
Dy2 0.000 0.000 0.500
Dy3 0.000 0.000 0.748


Entry from Alexandria via LeMat-Bulk: CaLa8Dy2 after structural relaxation (GGA-PBE).

Summary:
SG	C2/m (12)

a = 9.810 Å, b = 9.810 Å, c = 8.289 Å
α = 104.35°, β = 104.35°, γ = 31.20°
Fractional coordinates of all 11 atoms:
Ca1 0.000 0.000 0.000
La1 0.094 0.094 0.462
La2 0.184 0.184 0.911
La3 0.358 0.358 0.807
La4 0.452 0.452 0.283
La5 0.548 0.548 0.717
La6 0.642 0.642 0.193
La7 0.816 0.816 0.089
La8 0.906 0.906 0.538
Dy1 0.273 0.273 0.365
Dy2 0.727 0.727 0.635


Entry from Alexandria via LeMat-Bulk: CaLa2Dy2 after structural relaxation (GGA-PBE).

Summary:
SG	R-3m (166)

a = 15.364 Å, b = 15.364 Å, c = 15.364 Å
α = 13.72°, β = 13.72°, γ = 13.72°
Fractional coordinates of all 5 atoms:
Ca1 0.000 0.000 0.000
La1 0.405 0.405 0.405
La2 0.595 0.595 0.595
Dy1 0.198 0.198 0.198
Dy2 0.802 0.802 0.802


Entry from Alexandria via LeMat-Bulk: CaLa8Dy6 after structural relaxation (GGA-PBE).

Summary:
SG	R-3 (148)

a = 8.836 Å, b = 8.836 Å, c = 8.836 Å
α = 66.08°, β = 66.08°, γ = 66.08°
Fractional coordinates of all 15 atoms:
Ca1 0.000 0.000 0.000
La1 0.138 0.811 0.425
La2 0.189 0.575 0.862
La3 0.243 0.243 0.243
La4 0.425 0.138 0.811
La5 0.575 0.862 0.189
La6 0.757 0.757 0.757
La7 0.811 0.425 0.138
La8 0.862 0.189 0.575
Dy1 0.093 0.369 0.650
Dy2 0.350 0.907 0.631
Dy3 0.369 0.650 0.093
Dy4 0.631 0.350 0.907
Dy5 0.650 0.093 0.369
Dy6 0.907 0.631 0.350


E_form list, top to bottom, in meV per atom: 80 171 20 31 31 248